A plane-wave DFT calculation with GGA-PBEsol was carried out for crystalline TlAsSeCl2 at its relaxed geometry.

```
data_TlAsSeCl2
_chemical_formula_sum 'Tl1 As1 Se1 Cl2'
_cell_length_a 5.009
_cell_length_b 5.009
_cell_length_c 5.688
_cell_angle_alpha 90.00
_cell_angle_beta 90.00
_cell_angle_gamma 90.00
_space_group_name_H-M_alt 'P 4/m m m'
_space_group_IT_number 123
_space_group_name_Hall '-P 4 2'
loop_
_atom_site_label
_atom_site_fract_x
_atom_site_fract_y
_atom_site_fract_z
_atom_site_occupancy
Tl1 0.000 0.000 0.000 1
As1 0.000 0.000 0.500 1
Se1 0.500 0.500 0.500 1
Cl1 0.000 0.500 0.000 1
```

Computed properties:
theoretical density	5.0	g/cm³
calculated volume	28.5	Å³ per atom
raw formation energy	203	kJ/mol of formula units
total energy	-13.50	eV/cell
DOS(E_F)	0.590	states/eV/atom